A plane-wave DFT calculation with GGA-PBE was carried out for a relaxed structure of AcInGa2.

CIF file:
```
data_AcInGa2
_cell_length_a 7.4291
_cell_length_b 7.4291
_cell_length_c 7.4291
_cell_angle_alpha 90.00
_cell_angle_beta 90.00
_cell_angle_gamma 90.00
_symmetry_space_group_name_H-M 'F m -3 m'
_symmetry_Int_Tables_number 225
_symmetry_space_group_name_Hall '-F 4 2 3'
loop_
_atom_site_label
_atom_site_type_symbol
_atom_site_fract_x
_atom_site_fract_y
_atom_site_fract_z
Ac1 Ac 0.0000 0.0000 0.0000
In1 In 0.0000 0.0000 0.5000
Ga1 Ga 0.2500 0.2500 0.2500
```

Relative energy among the computed polymorphs ... 168 meV per atom

A plane-wave DFT calculation with GGA-PBE was carried out for a relaxed structure of HgOs2Pt.

CIF file:
```
data_HgOs2Pt
_cell_length_a 9.2730
_cell_length_b 2.8112
_cell_length_c 5.0322
_cell_angle_alpha 90.00
_cell_angle_beta 99.70
_cell_angle_gamma 90.00
_symmetry_space_group_name_H-M 'C 1 2/m 1'
_symmetry_Int_Tables_number 12
_symmetry_space_group_name_Hall '-C 2y'
loop_
_atom_site_label
_atom_site_type_symbol
_atom_site_fract_x
_atom_site_fract_y
_atom_site_fract_z
Hg1 Hg 0.0000 0.0000 0.0000
Os1 Os 0.2431 0.0000 0.7203
Pt1 Pt 0.0000 0.5000 0.5000
```

A plane-wave DFT calculation with GGA-PBE was carried out for a relaxed structure of NaLaNbIr2.

CIF file:
```
data_NaLaNbIr2
_cell_length_a 4.9078
_cell_length_b 4.9078
_cell_length_c 5.4018
_cell_angle_alpha 90.00
_cell_angle_beta 90.00
_cell_angle_gamma 90.00
_symmetry_space_group_name_H-M 'P 4/m m m'
_symmetry_Int_Tables_number 123
_symmetry_space_group_name_Hall '-P 4 2'
loop_
_atom_site_label
_atom_site_type_symbol
_atom_site_fract_x
_atom_site_fract_y
_atom_site_fract_z
Na1 Na 0.0000 0.0000 0.0000
La1 La 0.5000 0.5000 0.0000
Nb1 Nb 0.5000 0.5000 0.5000
Ir1 Ir 0.0000 0.5000 0.5000
```

| no. | total DFT energy (no corrections) (eV/atom) | DOS(E_F) (states/eV per cell) | calculated formation energy (meV per atom) |
| --- | --- | --- | --- |
| 1 | -3.561 | 6.67 | -336 |
| 2 | -6.614 | 6.83 | 587 |
| 3 | -6.103 | 3.95 | 704 |